Record 1
A plane-wave DFT calculation with PBE-GGA was carried out for PrEr2Pb after structural relaxation.

```
PrEr2Pb
1.0
4.7751 0.0000 0.0000
0.0000 4.6051 -0.9118
0.0000 -0.0869 11.5564
Pr Er Pb
2 4 2
Direct
0.2500 0.3099 0.6166
0.7500 0.6901 0.3834
0.7500 0.4451 0.8898
0.2500 0.5549 0.1102
0.2500 0.9386 0.8765
0.7500 0.0614 0.1235
0.7500 0.8397 0.6756
0.2500 0.1603 0.3244
```

total energy	-4.7168	eV per atom
DFT formation energy	-120.9	kJ/mol of formula units
calculated density	8.93	g/cm3
excess energy over the best structure of this formula in the dataset	0.00	eV per formula unit
crystal system	monoclinic

***

Record 2
A plane-wave DFT calculation with PBE-GGA was carried out for BaFe2Ir after structural relaxation.

```
BaFe2Ir
1.0
-1.9959 2.5556 -2.7545
-3.9636 1.3179 0.8090
0.1151 5.9236 2.1209
Ba Fe Ir
1 2 1
Direct
0.7523 0.7523 0.7427
0.9362 0.9362 0.1916
0.2429 0.2429 0.2715
0.5686 0.5686 0.2942
```

total energy	-6.7995	eV per atom
DFT formation energy	49.3	kJ/mol of formula units
calculated density	8.07	g/cm3
crystal system	trigonal

***

Record 3
A plane-wave DFT calculation with PBE-GGA was carried out for Na2VCr2S6 after structural relaxation.

```
Na2VCr2S6
1.0
-4.3279 3.7005 2.0054
3.9120 -2.4219 3.9085
4.2286 4.8145 -2.8202
Na V Cr S
2 1 2 6
Direct
0.8334 0.1666 0.0000
0.1666 0.8334 0.0000
0.0000 0.0000 0.5000
0.3319 0.6681 0.5000
0.6681 0.3319 0.5000
0.7321 0.7321 0.6960
0.0678 0.3999 0.6976
0.2679 0.2679 0.3040
0.3999 0.0678 0.6976
0.9322 0.6001 0.3024
0.6001 0.9322 0.3024
```

total energy	-5.9655	eV per atom
calculated density	3.08	g/cm3
formation energy (no corrections)	-0.8957	eV per atom
crystal system	monoclinic

***

Record 4
A plane-wave DFT calculation with PBE-GGA was carried out for K2RbSc3F12 after structural relaxation.

```
K2RbSc3F12
1.0
-4.0413 -5.2652 3.9046
3.8369 -5.4186 3.9010
0.0100 0.3313 7.6936
K Rb Sc F
2 1 3 12
Direct
0.6362 0.6362 0.6362
0.3638 0.3638 0.3638
0.0000 0.0000 0.0000
0.5000 0.0000 0.0000
0.0000 0.5000 0.0000
0.0000 0.0000 0.5000
0.2737 0.2737 0.9016
0.8699 0.8699 0.4465
0.4465 0.8699 0.8699
0.9016 0.2737 0.2737
0.8699 0.4465 0.8699
0.2737 0.9016 0.2737
0.7263 0.7263 0.0984
0.1301 0.1301 0.5535
0.5535 0.1301 0.1301
0.0984 0.7263 0.7263
0.1301 0.5535 0.1301
0.7263 0.0984 0.7263
```

total energy	-6.0759	eV per atom
calculated density	2.62	g/cm3
formation energy (no corrections)	-3.5974	eV per atom
crystal system	trigonal

***

Record 5
A plane-wave DFT calculation with PBE-GGA was carried out for CsKCu2I6 after structural relaxation.

```
CsKCu2I6
1.0
-6.3505 -2.9574 1.9433
-0.4606 -7.1544 1.2054
0.3231 -1.6749 12.1051
Cs K Cu I
1 1 2 6
Direct
0.0000 0.0000 0.0000
0.5000 0.5000 0.5000
0.7567 0.7567 0.7299
0.2433 0.2433 0.2701
0.0982 0.4133 0.7316
0.7570 0.0982 0.7316
0.5867 0.2430 0.2684
0.9018 0.5867 0.2684
0.2430 0.9018 0.2684
0.4133 0.7570 0.7316
```

total energy	-2.5521	eV per atom
calculated density	3.35	g/cm3
formation energy (no corrections)	-0.6077	eV per atom
crystal system	trigonal

***

Record 6
A plane-wave DFT calculation with PBE-GGA was carried out for SrHfGa2Au after structural relaxation.

```
SrHfGa2Au
1.0
4.9832 0.0000 0.0000
0.0000 5.5611 0.0000
0.0000 0.0000 4.9832
Hf Au Ga Sr
1 1 2 1
Direct
0.5000 0.5000 0.5000
0.0000 0.0000 0.0000
0.0000 0.0000 0.5000
0.5000 0.0000 0.0000
0.0000 0.5000 0.0000
```

total energy	-3.6982	eV per atom
DFT formation energy	238.9	kJ/mol of formula units
calculated density	7.25	g/cm3
crystal system	tetragonal

***

Record 7
A plane-wave DFT calculation with PBE-GGA was carried out for CsLaNi2 after structural relaxation.

```
CsLaNi2
1.0
-1.4545 -4.9532 0.2980
-4.5635 -1.2330 2.0957
-3.8317 -1.7542 -2.9965
Cs Ni La
1 2 1
Direct
0.0000 0.0000 0.0000
0.2500 0.2500 0.2500
0.7500 0.7500 0.7500
0.5000 0.5000 0.5000
```

total energy	-3.7818	eV per atom
DFT formation energy	213.8	kJ/mol of formula units
calculated density	6.61	g/cm3
excess energy over the best structure of this formula in the dataset	0.00	eV per formula unit
crystal system	cubic

***

Record 8
A plane-wave DFT calculation with PBE-GGA was carried out for Ni2AgRhC after structural relaxation.

```
Ni2AgRhC
1.0
3.8923 0.0000 0.0000
0.0000 3.8923 0.0000
0.0000 0.0000 4.0107
Ni C Rh Ag
2 1 1 1
Direct
0.0000 0.5000 0.0000
0.5000 0.0000 0.0000
0.0000 0.0000 0.0000
0.0000 0.0000 0.5000
0.5000 0.5000 0.5000
```

total energy	-6.0469	eV per atom
DFT formation energy	72.8	kJ/mol of formula units
calculated density	9.30	g/cm3
crystal system	tetragonal

***

Record 9
A plane-wave DFT calculation with PBE-GGA was carried out for Tb12Pt3C5 after structural relaxation.

```
Tb12Pt3C5
1.0
-9.0214 -8.7445 -4.8344
4.1777 -4.1033 12.1216
-5.6733 12.1595 1.0879
C Tb Pt
20 48 12
Direct
0.1250 0.3750 0.2500
0.0000 0.5000 0.0000
0.0000 0.0000 0.0000
0.3750 0.2500 0.1250
0.5000 0.0000 0.5000
0.5000 0.5000 0.0000
0.1250 0.7500 0.3750
0.7500 0.1250 0.8750
0.7500 0.6250 0.3750
0.3750 0.1250 0.7500
0.6250 0.8750 0.2500
0.5000 0.5000 0.5000
0.5000 0.0000 0.0000
0.0000 0.0000 0.5000
0.2500 0.3750 0.6250
0.2500 0.8750 0.1250
0.0000 0.5000 0.5000
0.8750 0.2500 0.6250
0.6250 0.7500 0.8750
0.8750 0.6250 0.7500
0.7061 0.1206 0.0259
0.3198 0.5259 0.4054
0.9741 0.3794 0.2939
0.5259 0.2061 0.1206
0.5855 0.7061 0.6802
0.9741 0.5946 0.1802
0.3198 0.7939 0.4145
0.0946 0.9145 0.1206
0.5946 0.9741 0.6802
0.7061 0.5855 0.1802
0.7939 0.4741 0.3794
0.8198 0.9054 0.0259
0.1206 0.7061 0.5259
0.3794 0.4054 0.0855
0.0855 0.9054 0.3794
0.4145 0.1206 0.5946
0.0855 0.1802 0.2061
0.4741 0.6802 0.0946
0.8198 0.9145 0.2939
0.1206 0.4145 0.0946
0.3794 0.9741 0.7939
0.5946 0.6206 0.4145
0.9054 0.8198 0.5259
0.7939 0.3198 0.9145
0.4054 0.3794 0.5855
0.0946 0.1802 0.4741
0.2061 0.6802 0.0855
0.1802 0.0855 0.7061
0.6206 0.0259 0.2061
0.8794 0.5855 0.9054
0.5259 0.3198 0.9054
0.5855 0.8794 0.4054
0.9145 0.8198 0.7939
0.9145 0.0946 0.6206
0.8794 0.2939 0.4741
0.1802 0.0946 0.9741
0.6206 0.5946 0.9145
0.4054 0.0259 0.3198
0.2939 0.4145 0.8198
0.2061 0.5259 0.6206
0.9054 0.0855 0.8794
0.6802 0.2061 0.5855
0.4741 0.7939 0.8794
0.0259 0.4054 0.8198
0.4145 0.2939 0.3198
0.0259 0.6206 0.7061
0.6802 0.4741 0.5946
0.2939 0.8794 0.9741
0.7500 0.3750 0.1250
0.8750 0.7500 0.1250
0.3750 0.7500 0.6250
0.2500 0.1250 0.3750
0.8750 0.1250 0.2500
0.3750 0.6250 0.2500
0.6250 0.3750 0.7500
0.1250 0.8750 0.7500
0.7500 0.8750 0.6250
0.6250 0.2500 0.3750
0.1250 0.2500 0.8750
0.2500 0.6250 0.8750
```

total energy	-6.3845	eV per atom
DFT formation energy	-760.7	kJ/mol of formula units
calculated density	9.03	g/cm3
crystal system	cubic

***

Record 10
A plane-wave DFT calculation with PBE-GGA was carried out for KYCuO3 after structural relaxation.

```
KYCuO3
1.0
-3.4150 -0.3491 1.0861
-1.6343 -3.4171 -6.2369
2.6400 -6.0681 6.3505
K Y Cu O
2 2 2 6
Direct
0.2500 0.1933 0.1711
0.7500 0.8067 0.8289
0.2500 0.6729 0.1403
0.7500 0.3271 0.8597
0.2500 0.0297 0.6233
0.7500 0.9703 0.3767
0.7500 0.8857 0.1506
0.2500 0.1143 0.8494
0.2500 0.8821 0.3994
0.7500 0.1179 0.6006
0.7500 0.4635 0.1202
0.2500 0.5365 0.8798
```

total energy	-6.3751	eV per atom
calculated density	3.52	g/cm3
formation energy (no corrections)	-1.9530	eV per atom
crystal system	monoclinic

***

Record 11
A plane-wave DFT calculation with PBE-GGA was carried out for KLaVIn2 after structural relaxation.

```
KLaVIn2
1.0
6.2254 0.0000 0.0000
0.0000 4.8673 0.0000
0.0000 0.0000 6.2254
V In K La
1 2 1 1
Direct
0.0000 0.5000 0.0000
0.0000 0.0000 0.5000
0.5000 0.0000 0.0000
0.5000 0.5000 0.5000
0.0000 0.0000 0.0000
```

total energy	-3.2301	eV per atom
DFT formation energy	431.3	kJ/mol of formula units
calculated density	4.04	g/cm3
crystal system	tetragonal

***

Record 12
A plane-wave DFT calculation with PBE-GGA was carried out for LaCeHo6 after structural relaxation.

```
LaCeHo6
1.0
6.1318 -0.2178 2.4297
-0.4048 6.2477 1.6285
0.8371 1.4689 7.3968
La Ce Ho
1 1 6
Direct
0.0000 0.0000 0.0000
0.0000 0.5000 0.0000
0.0812 0.7599 0.4797
0.5486 0.7306 0.5381
0.4514 0.2694 0.4619
0.9188 0.2401 0.5203
0.5007 0.7478 0.9994
0.4993 0.2522 0.0006
```

total energy	-4.5807	eV per atom
DFT formation energy	162.3	kJ/mol of formula units
calculated density	8.31	g/cm3
excess energy over the best structure of this formula in the dataset	1.29	eV per formula unit
crystal system	triclinic

***

Record 13
A plane-wave DFT calculation with PBE-GGA was carried out for Li2Er2ScCd5 after structural relaxation.

```
Li2Er2ScCd5
1.0
3.9137 0.0000 0.0000
0.0000 10.5032 0.0000
0.0000 0.0000 10.5032
Li Er Sc Cd
4 4 2 10
Direct
0.0000 0.1175 0.6175
0.0000 0.8825 0.3825
0.0000 0.6175 0.8825
0.0000 0.3825 0.1175
0.0000 0.6800 0.1800
0.0000 0.3200 0.8200
0.0000 0.1800 0.3200
0.0000 0.8200 0.6800
0.0000 0.0000 0.0000
0.0000 0.5000 0.5000
0.5000 0.2090 0.0593
0.5000 0.7910 0.9407
0.5000 0.0593 0.7910
0.5000 0.7090 0.4407
0.5000 0.9407 0.2090
0.5000 0.2910 0.5593
0.5000 0.5593 0.7090
0.5000 0.4407 0.2910
0.5000 0.5000 0.0000
0.5000 0.0000 0.5000
```

total energy	-2.6329	eV per atom
DFT formation energy	-238.2	kJ/mol of formula units
calculated density	7.35	g/cm3
crystal system	tetragonal

***

Record 14
A plane-wave DFT calculation with PBE-GGA was carried out for ScFe2Rh after structural relaxation.

```
ScFe2Rh
1.0
3.6103 0.0000 0.0000
0.0000 3.6103 0.0000
1.8052 1.8052 9.5831
Sc Rh Fe
2 2 4
Direct
0.5000 0.5000 0.0000
0.2500 0.7500 0.5000
0.0000 0.0000 0.0000
0.7500 0.2500 0.5000
0.6385 0.1250 0.2500
0.1115 0.6250 0.2500
0.3750 0.3615 0.7500
0.8750 0.8885 0.7500
```

total energy	-7.5570	eV per atom
DFT formation energy	36.7	kJ/mol of formula units
calculated density	6.90	g/cm3
crystal system	tetragonal

***

Record 15
A plane-wave DFT calculation with PBE-GGA was carried out for MgHgOs2 after structural relaxation.

```
MgHgOs2
1.0
-1.8187 -1.0314 -4.4699
0.8986 -1.9416 -4.4468
-1.5481 -4.6006 0.8391
Hg Mg Os
1 1 2
Direct
0.2500 0.2500 0.2500
0.7500 0.7500 0.7500
0.0033 0.0033 0.9701
0.4967 0.4967 0.5299
```

total energy	-5.5822	eV per atom
DFT formation energy	195.6	kJ/mol of formula units
calculated density	15.29	g/cm3
excess energy over the best structure of this formula in the dataset	1.27	eV per formula unit
crystal system	monoclinic

***

Record 16
A plane-wave DFT calculation with PBE-GGA was carried out for HfInH after structural relaxation.

```
HfInH
1.0
-3.2314 4.3021 2.2091
2.8653 -2.5282 9.1146
2.6017 2.0782 -0.2414
H Hf In
4 4 4
Direct
0.6654 0.2500 0.0000
0.8346 0.7500 0.5000
0.3346 0.7500 0.0000
0.1654 0.2500 0.5000
0.3328 0.2500 0.0000
0.1672 0.7500 0.5000
0.6672 0.7500 0.0000
0.8328 0.2500 0.5000
0.0000 0.0000 0.0000
0.5000 0.5000 0.5000
0.5000 0.0000 0.5000
0.0000 0.5000 0.0000
```

total energy	-5.6587	eV per atom
calculated density	10.19	g/cm3
excess energy over the best structure of this formula in the dataset	0.14	eV per formula unit
crystal system	orthorhombic

***

Record 17
A plane-wave DFT calculation with PBE-GGA was carried out for SnH2Pd5 after structural relaxation.

```
SnH2Pd5
1.0
-2.3083 0.3697 3.2224
-2.2833 -2.9943 -1.2920
6.2235 -3.1161 2.3565
Sn H Pd
1 2 5
Direct
0.5000 0.5000 0.0000
0.1627 0.1627 0.3254
0.8373 0.8373 0.6746
0.6496 0.1496 0.2992
0.1496 0.6496 0.2992
0.8504 0.3504 0.7008
0.3504 0.8504 0.7008
0.0000 0.0000 0.0000
```

total energy	-4.7815	eV per atom
calculated density	10.08	g/cm3
excess energy over the best structure of this formula in the dataset	0.00	eV per formula unit
crystal system	tetragonal

***

Record 18
A plane-wave DFT calculation with PBE-GGA was carried out for Ba5LiGa4 after structural relaxation.

```
Ba5LiGa4
1.0
-0.3950 3.0672 -3.3152
-8.4075 -2.0624 -0.9063
1.8305 6.3263 8.7349
Ba Li Ga
5 1 4
Direct
0.1385 0.2502 0.2770
0.1906 0.7880 0.3812
0.8094 0.2120 0.6188
0.5000 0.5000 0.0000
0.8615 0.7498 0.7230
0.5000 0.0000 0.0000
0.6115 0.9258 0.2230
0.9673 0.1562 0.9345
0.3885 0.0742 0.7770
0.0327 0.8438 0.0655
```

total energy	-2.6309	eV per atom
DFT formation energy	-258.0	kJ/mol of formula units
calculated density	4.15	g/cm3
crystal system	monoclinic

***

Record 19
A plane-wave DFT calculation with PBE-GGA was carried out for ErLuAgPt after structural relaxation.

```
ErLuAgPt
1.0
-0.9551 4.7413 1.0456
-1.0900 1.3399 4.6370
3.2403 2.6537 2.6351
Lu Ag Pt Er
1 1 1 1
Direct
0.5000 0.5000 0.5000
0.2500 0.2500 0.2500
0.7500 0.7500 0.7500
0.0000 0.0000 0.0000
```

total energy	-5.3228	eV per atom
DFT formation energy	-319.9	kJ/mol of formula units
calculated density	12.51	g/cm3
crystal system	cubic

***

Record 20
A plane-wave DFT calculation with PBE-GGA was carried out for Ce2ZnFe2Ni5 after structural relaxation.

```
Ce2ZnFe2Ni5
1.0
-1.3774 2.6647 2.4246
2.6259 -4.7570 6.7199
7.6330 4.0505 -0.1154
Ce Zn Fe Ni
4 2 4 10
Direct
0.0000 0.6792 0.1792
0.0000 0.3208 0.8208
0.0000 0.1792 0.3208
0.0000 0.8208 0.6792
0.0000 0.0000 0.0000
0.0000 0.5000 0.5000
0.0000 0.1357 0.6357
0.0000 0.8643 0.3643
0.0000 0.6357 0.8643
0.0000 0.3643 0.1357
0.5000 0.2027 0.0605
0.5000 0.7973 0.9395
0.5000 0.0605 0.7973
0.5000 0.7027 0.4395
0.5000 0.9395 0.2027
0.5000 0.2973 0.5605
0.5000 0.5605 0.7027
0.5000 0.4395 0.2973
0.5000 0.5000 0.0000
0.5000 0.0000 0.5000
```

total energy	-6.0771	eV per atom
DFT formation energy	-173.4	kJ/mol of formula units
calculated density	8.66	g/cm3
crystal system	tetragonal